Entry 1:
AlMo2 | GGA-PBEsol | relaxed

Values from the calculation:
VASP energy = -9.059 eV/atom
Distance to the lowest polymorph of the same formula = 292 meV/atom
ΔE_f = 0.150 eV per atom
Size of the total moment = 0.00 μB per cell

Lattice parameters (Å, degrees): 4.5024 4.5024 5.3228 90.00 90.00 120.00
With the nearest neighbours (Å) after each atom.
Fractional positions:
Al: 0.0000 0.0000 0.2500  2 Al 2.66, 12 Mo 2.87-2.97
Al: 0.0000 0.0000 0.7500  2 Al 2.66, 12 Mo 2.87-2.97
Mo: 0.3333 0.6667 0.0209  4 Mo 2.44-2.61
Mo: 0.3333 0.6667 0.4791  4 Mo 2.44-2.61
Mo: 0.6667 0.3333 0.5209  4 Mo 2.44-2.61
Mo: 0.6667 0.3333 0.9791  4 Mo 2.44-2.61

Entry 2:
AlMo2 | GGA-PBEsol | relaxed

Values from the calculation:
VASP energy = -9.352 eV/atom
Distance to the lowest polymorph of the same formula = 0 meV/atom
ΔE_f = -0.143 eV per atom
Size of the total moment = 0.00 μB per cell

Lattice parameters (Å, degrees): 3.2062 3.2062 8.8571 90.00 90.00 90.00
With the nearest neighbours (Å) after each atom.
Fractional positions:
Al: 0.0000 0.0000 0.0000  10 Mo 2.76-2.86
Al: 0.5000 0.5000 0.5000  10 Mo 2.76-2.86
Mo: 0.0000 0.0000 0.3232  4 Mo 2.61, 5 Al 2.76-2.86
Mo: 0.0000 0.0000 0.6768  4 Mo 2.61, 5 Al 2.76-2.86
Mo: 0.5000 0.5000 0.1768  4 Mo 2.61, 5 Al 2.76-2.86
Mo: 0.5000 0.5000 0.8232  4 Mo 2.61, 5 Al 2.76-2.86

Entry 3:
AlMo | GGA-PBEsol | relaxed

Values from the calculation:
VASP energy = -7.879 eV/atom
ΔE_f = 0.050 eV per atom
Size of the total moment = 0.00 μB per cell

Lattice parameters (Å, degrees): 2.7037 4.6591 4.8451 90.00 90.00 90.00
With the nearest neighbours (Å) after each atom.
Fractional positions:
Al: 0.2500 0.2500 0.0899  6 Al 2.70-2.83, 6 Mo 2.73-2.81
Al: 0.7500 0.7500 0.9101  6 Al 2.70-2.83, 6 Mo 2.73-2.81
Mo: 0.2500 0.7500 0.4006  6 Mo 2.70-2.86, 6 Al 2.73-2.81
Mo: 0.7500 0.2500 0.5994  6 Mo 2.70-2.86, 6 Al 2.73-2.81

Entry 4:
Al3Mo2 | GGA-PBEsol | relaxed

Values from the calculation:
VASP energy = -7.255 eV/atom
ΔE_f = -0.093 eV per atom
Size of the total moment = 0.00 μB per cell

Lattice parameters (Å, degrees): 6.8389 5.1911 7.7522 59.97 41.09 78.94
With the nearest neighbours (Å) after each atom.
Fractional positions:
Al: 0.0000 0.0000 0.0000  4 Mo 2.55-2.58, 4 Al 2.61-2.67
Al: 0.2500 0.2500 0.2500  4 Mo 2.55-2.58, 4 Al 2.61-2.67
Al: 0.4054 0.7494 0.3750  4 Al 2.61-2.67, 6 Mo 2.66-2.90
Al: 0.7494 0.4054 0.4702  4 Al 2.61-2.67, 6 Mo 2.66-2.90
Al: 0.7798 0.8750 0.5006  4 Al 2.61-2.67, 6 Mo 2.66-2.90
Al: 0.8750 0.7798 0.8446  4 Al 2.61-2.67, 6 Mo 2.66-2.90
Mo: 0.2099 0.4787 0.9026  7 Al 2.55-2.74
Mo: 0.3474 0.8412 0.0401  7 Al 2.55-2.74
Mo: 0.4787 0.2099 0.4088  7 Al 2.55-2.74
Mo: 0.8412 0.3474 0.7713  7 Al 2.55-2.74

Entry 5:
Al2Mo3 | GGA-PBEsol | relaxed

Values from the calculation:
VASP energy = -8.100 eV/atom
ΔE_f = 0.597 eV per atom
Size of the total moment = 0.00 μB per cell

Lattice parameters (Å, degrees): 4.2310 4.2310 5.2339 90.00 90.00 120.00
With the nearest neighbours (Å) after each atom.
Fractional positions:
Al: 0.3333 0.6667 0.3621  8 Mo 2.55-2.74, 3 Al 2.84
Al: 0.6667 0.3333 0.6379  8 Mo 2.55-2.74, 3 Al 2.84
Mo: 0.0000 0.0000 0.5000  6 Al 2.55
Mo: 0.3333 0.6667 0.8746  5 Al 2.55-2.74, 3 Mo 2.77
Mo: 0.6667 0.3333 0.1254  5 Al 2.55-2.74, 3 Mo 2.77

Entry 6:
AlMo | GGA-PBEsol | relaxed

Values from the calculation:
VASP energy = -6.731 eV/atom
ΔE_f = 1.199 eV per atom
Size of the total moment = 0.01 μB per cell

Lattice parameters (Å, degrees): 4.3681 4.3681 4.9376 90.00 90.00 120.00
With the nearest neighbours (Å) after each atom.
Fractional positions:
Al: 0.3333 0.6667 0.2500  5 Mo 2.47-2.52
Al: 0.6667 0.3333 0.7500  5 Mo 2.47-2.52
Mo: 0.3333 0.6667 0.7500  5 Al 2.47-2.52
Mo: 0.6667 0.3333 0.2500  5 Al 2.47-2.52

Entry 7:
Al12Mo | GGA-PBEsol | relaxed

Values from the calculation:
VASP energy = -4.790 eV/atom
ΔE_f = -0.108 eV per atom
Size of the total moment = 0.00 μB per cell

Lattice parameters (Å, degrees): 6.5221 6.5221 6.5221 109.47 109.47 109.47
With the nearest neighbours (Å) after each atom.
Fractional positions:
Al: 0.1240 0.3089 0.8151  1 Mo 2.71, 10 Al 2.78-2.88
Al: 0.1849 0.4939 0.3089  1 Mo 2.71, 10 Al 2.78-2.88
Al: 0.1849 0.8760 0.6911  1 Mo 2.71, 10 Al 2.78-2.88
Al: 0.3089 0.1849 0.4939  1 Mo 2.71, 10 Al 2.78-2.88
Al: 0.3089 0.8151 0.1240  1 Mo 2.71, 10 Al 2.78-2.88
Al: 0.4939 0.3089 0.1849  1 Mo 2.71, 10 Al 2.78-2.88
Al: 0.5061 0.6911 0.8151  1 Mo 2.71, 10 Al 2.78-2.88
Al: 0.6911 0.1849 0.8760  1 Mo 2.71, 10 Al 2.78-2.88
Al: 0.6911 0.8151 0.5061  1 Mo 2.71, 10 Al 2.78-2.88
Al: 0.8151 0.1240 0.3089  1 Mo 2.71, 10 Al 2.78-2.88
Al: 0.8151 0.5061 0.6911  1 Mo 2.71, 10 Al 2.78-2.88
Al: 0.8760 0.6911 0.1849  1 Mo 2.71, 10 Al 2.78-2.88
Mo: 0.0000 0.0000 0.0000  12 Al 2.71

Entry 8:
Al3Mo | GGA-PBEsol | relaxed

Values from the calculation:
VASP energy = -6.259 eV/atom
ΔE_f = -0.248 eV per atom
Size of the total moment = 0.00 μB per cell

Lattice parameters (Å, degrees): 5.3299 13.4969 4.9626 90.00 90.00 90.00
With the nearest neighbours (Å) after each atom.
Fractional positions:
Al: 0.0009 0.2500 0.0525  8 Al 2.65-2.91, 4 Mo 2.77-2.87
Al: 0.0020 0.0854 0.3566  8 Al 2.64-2.86, 4 Mo 2.75-2.86
Al: 0.0020 0.4146 0.3566  8 Al 2.64-2.86, 4 Mo 2.75-2.86
Al: 0.2500 0.2500 0.5754  4 Mo 2.67-2.76, 8 Al 2.71-2.91
Al: 0.2500 0.5863 0.1518  4 Mo 2.60-2.68, 8 Al 2.77-2.86
Al: 0.2500 0.9137 0.1518  4 Mo 2.60-2.68, 8 Al 2.77-2.86
Al: 0.4980 0.0854 0.3566  8 Al 2.64-2.86, 4 Mo 2.75-2.86
Al: 0.4980 0.4146 0.3566  8 Al 2.64-2.86, 4 Mo 2.75-2.86
Al: 0.4991 0.2500 0.0525  8 Al 2.65-2.91, 4 Mo 2.77-2.87
Al: 0.5009 0.7500 0.9475  8 Al 2.65-2.91, 4 Mo 2.77-2.87
Al: 0.5020 0.5854 0.6434  8 Al 2.64-2.86, 4 Mo 2.75-2.86
Al: 0.5020 0.9146 0.6434  8 Al 2.64-2.86, 4 Mo 2.75-2.86
Al: 0.7500 0.0863 0.8482  4 Mo 2.60-2.68, 8 Al 2.77-2.86
Al: 0.7500 0.4137 0.8482  4 Mo 2.60-2.68, 8 Al 2.77-2.86
Al: 0.7500 0.7500 0.4246  4 Mo 2.67-2.76, 8 Al 2.71-2.91
Al: 0.9980 0.5854 0.6434  8 Al 2.64-2.86, 4 Mo 2.75-2.86
Al: 0.9980 0.9146 0.6434  8 Al 2.64-2.86, 4 Mo 2.75-2.86
Al: 0.9991 0.7500 0.9475  8 Al 2.65-2.91, 4 Mo 2.77-2.87
Mo: 0.2500 0.0755 0.8667  12 Al 2.60-2.86
Mo: 0.2500 0.4245 0.8667  12 Al 2.60-2.86
Mo: 0.2500 0.7500 0.4591  12 Al 2.67-2.87
Mo: 0.7500 0.2500 0.5409  12 Al 2.67-2.87
Mo: 0.7500 0.5755 0.1333  12 Al 2.60-2.86
Mo: 0.7500 0.9245 0.1333  12 Al 2.60-2.86

Entry 9:
Al3Mo | GGA-PBEsol | relaxed

Values from the calculation:
VASP energy = -6.256 eV/atom
ΔE_f = -0.246 eV per atom
Size of the total moment = 0.01 μB per cell

Lattice parameters (Å, degrees): 3.7750 3.7750 8.3257 90.00 90.00 90.00
With the nearest neighbours (Å) after each atom.
Fractional positions:
Al: 0.0000 0.0000 0.0000  4 Mo 2.67, 8 Al 2.81
Al: 0.0000 0.5000 0.2500  8 Al 2.67-2.81, 4 Mo 2.81
Al: 0.0000 0.5000 0.7500  8 Al 2.67-2.81, 4 Mo 2.81
Al: 0.5000 0.0000 0.2500  8 Al 2.67-2.81, 4 Mo 2.81
Al: 0.5000 0.0000 0.7500  8 Al 2.67-2.81, 4 Mo 2.81
Al: 0.5000 0.5000 0.5000  4 Mo 2.67, 8 Al 2.81
Mo: 0.0000 0.0000 0.5000  12 Al 2.67-2.81
Mo: 0.5000 0.5000 0.0000  12 Al 2.67-2.81

Entry 10:
Al3Mo | GGA-PBEsol | relaxed

Values from the calculation:
VASP energy = -6.317 eV/atom
ΔE_f = -0.306 eV per atom
Size of the total moment = 0.00 μB per cell

Lattice parameters (Å, degrees): 8.3658 8.3658 8.3375 101.77 101.77 24.69
With the nearest neighbours (Å) after each atom.
Fractional positions:
Al: 0.0599 0.0599 0.4165  6 Al 2.63-2.93, 4 Mo 2.80
Al: 0.0657 0.0657 0.9202  8 Al 2.66-2.85, 3 Mo 2.72-2.97
Al: 0.1875 0.1875 0.7208  4 Mo 2.56-2.59, 7 Al 2.75-2.86
Al: 0.3112 0.3112 0.0201  8 Al 2.65-2.86, 4 Mo 2.72-2.82
Al: 0.3123 0.3123 0.5298  8 Al 2.68-2.84, 4 Mo 2.72-2.83
Al: 0.4343 0.4343 0.8211  8 Al 2.69-2.86, 3 Mo 2.74-2.77
Al: 0.5657 0.5657 0.1789  8 Al 2.69-2.86, 3 Mo 2.74-2.77
Al: 0.6877 0.6877 0.4702  8 Al 2.68-2.84, 4 Mo 2.72-2.83
Al: 0.6888 0.6888 0.9799  8 Al 2.65-2.86, 4 Mo 2.72-2.82
Al: 0.8125 0.8125 0.2792  4 Mo 2.56-2.59, 7 Al 2.75-2.86
Al: 0.9343 0.9343 0.0798  8 Al 2.66-2.85, 3 Mo 2.72-2.97
Al: 0.9401 0.9401 0.5835  6 Al 2.63-2.93, 4 Mo 2.80
Mo: 0.1951 0.1951 0.2281  10 Al 2.59-2.83
Mo: 0.4269 0.4269 0.3213  11 Al 2.56-2.81
Mo: 0.5731 0.5731 0.6787  11 Al 2.56-2.81
Mo: 0.8049 0.8049 0.7719  10 Al 2.59-2.83

Entry 11:
Al3Mo | GGA-PBEsol | relaxed

Values from the calculation:
VASP energy = -6.042 eV/atom
ΔE_f = -0.031 eV per atom
Size of the total moment = 0.00 μB per cell

Lattice parameters (Å, degrees): 2.7432 2.7432 8.2458 90.00 90.00 90.00
With the nearest neighbours (Å) after each atom.
Fractional positions:
Al: 0.0000 0.0000 0.0000  12 Al 2.74-2.88
Al: 0.5000 0.5000 0.2577  8 Al 2.74-2.88, 4 Mo 2.78
Al: 0.5000 0.5000 0.7423  8 Al 2.74-2.88, 4 Mo 2.78
Mo: 0.0000 0.0000 0.5000  4 Mo 2.74, 8 Al 2.78

Entry 12:
Al8Mo3 | GGA-PBEsol | relaxed

Values from the calculation:
VASP energy = -6.502 eV/atom
ΔE_f = -0.317 eV per atom
Size of the total moment = 0.00 μB per cell

Lattice parameters (Å, degrees): 4.9264 4.9264 10.0026 100.10 100.10 43.16
With the nearest neighbours (Å) after each atom.
Fractional positions:
Al: 0.0398 0.0398 0.3208  4 Mo 2.54-2.62, 5 Al 2.76-2.81
Al: 0.1316 0.1316 0.9584  7 Al 2.67-2.94, 5 Mo 2.77-2.97
Al: 0.2277 0.2277 0.5902  8 Al 2.64-2.91, 4 Mo 2.72-2.81
Al: 0.3133 0.3133 0.2222  8 Al 2.67-2.86, 4 Mo 2.69-2.98
Al: 0.6867 0.6867 0.7778  8 Al 2.67-2.86, 4 Mo 2.69-2.98
Al: 0.7723 0.7723 0.4098  8 Al 2.64-2.91, 4 Mo 2.72-2.81
Al: 0.8684 0.8684 0.0416  7 Al 2.67-2.94, 5 Mo 2.77-2.97
Al: 0.9602 0.9602 0.6792  4 Mo 2.54-2.62, 5 Al 2.76-2.81
Mo: 0.4057 0.4057 0.8409  10 Al 2.54-2.83
Mo: 0.5000 0.5000 0.5000  10 Al 2.62-2.81
Mo: 0.5943 0.5943 0.1591  10 Al 2.54-2.83